<A>
# Th2MgBi | the Alexandria database | PBE-GGA | relaxed
# V ... 119.6 Å³/f.u.
# M_tot ... 0.0 μB per cell
data_Th2MgBi
_chemical_formula_sum 'Th2 Mg1 Bi1'
_symmetry_space_group_name_H-M 'P 1'
_symmetry_Int_Tables_number 1
_cell_length_a 4.120
_cell_length_b 4.120
_cell_length_c 7.046
_cell_angle_alpha 90.00
_cell_angle_beta 90.00
_cell_angle_gamma 90.00
loop_
_symmetry_equiv_pos_as_xyz
'x,y,z'
loop_
_atom_site_label
_atom_site_type_symbol
_atom_site_fract_x
_atom_site_fract_y
_atom_site_fract_z
Mg1 Mg 0.500 0.500 0.500
Bi1 Bi 0.500 0.500 0.000
Th1 Th 0.000 0.000 0.751
Th2 Th 0.000 0.000 0.249

<B>
# Th2MgBi | the Alexandria database | PBE-GGA | relaxed
# V ... 126.4 Å³/f.u.
# M_tot ... 0.0 μB per cell
data_Th2MgBi
_chemical_formula_sum 'Th2 Mg1 Bi1'
_symmetry_space_group_name_H-M 'P 1'
_symmetry_Int_Tables_number 1
_cell_length_a 3.446
_cell_length_b 3.446
_cell_length_c 12.452
_cell_angle_alpha 82.05
_cell_angle_beta 82.05
_cell_angle_gamma 60.00
loop_
_symmetry_equiv_pos_as_xyz
'x,y,z'
loop_
_atom_site_label
_atom_site_type_symbol
_atom_site_fract_x
_atom_site_fract_y
_atom_site_fract_z
Mg1 Mg 0.500 0.500 0.500
Bi1 Bi 0.000 0.000 0.000
Th1 Th 0.089 0.089 0.733
Th2 Th 0.911 0.911 0.267

Of them, <B> has the lowest stability.

<A>
# ThMgBi | the Alexandria database | PBE-GGA | relaxed
# V ... 94.7 Å³/f.u.
# M_tot ... 0.0 μB per cell
data_ThMgBi
_chemical_formula_sum 'Th2 Mg2 Bi2'
_symmetry_space_group_name_H-M 'P 1'
_symmetry_Int_Tables_number 1
_cell_length_a 4.272
_cell_length_b 6.053
_cell_length_c 8.243
_cell_angle_alpha 107.04
_cell_angle_beta 90.00
_cell_angle_gamma 110.67
loop_
_symmetry_equiv_pos_as_xyz
'x,y,z'
loop_
_atom_site_label
_atom_site_type_symbol
_atom_site_fract_x
_atom_site_fract_y
_atom_site_fract_z
Bi1 Bi 0.837 0.674 0.841
Bi2 Bi 0.163 0.326 0.159
Th1 Th 0.621 0.242 0.438
Th2 Th 0.379 0.758 0.562
Mg1 Mg 0.866 0.732 0.224
Mg2 Mg 0.134 0.268 0.776

<B>
# ThMgBi | the Alexandria database | PBE-GGA | relaxed
# V ... 85.7 Å³/f.u.
# M_tot ... 0.0 μB per cell
data_ThMgBi
_chemical_formula_sum 'Th1 Mg1 Bi1'
_symmetry_space_group_name_H-M 'P 1'
_symmetry_Int_Tables_number 1
_cell_length_a 3.653
_cell_length_b 5.205
_cell_length_c 5.205
_cell_angle_alpha 120.00
_cell_angle_beta 90.00
_cell_angle_gamma 90.00
loop_
_symmetry_equiv_pos_as_xyz
'x,y,z'
loop_
_atom_site_label
_atom_site_type_symbol
_atom_site_fract_x
_atom_site_fract_y
_atom_site_fract_z
Mg1 Mg 0.833 0.000 0.000
Bi1 Bi 0.833 0.667 0.333
Th1 Th 0.334 0.333 0.667

<C>
# ThMgBi | the Alexandria database | PBE-GGA | relaxed
# V ... 85.9 Å³/f.u.
# M_tot ... 0.0 μB per cell
data_ThMgBi
_chemical_formula_sum 'Th1 Mg1 Bi1'
_symmetry_space_group_name_H-M 'P 1'
_symmetry_Int_Tables_number 1
_cell_length_a 3.875
_cell_length_b 3.875
_cell_length_c 6.340
_cell_angle_alpha 107.80
_cell_angle_beta 107.80
_cell_angle_gamma 90.00
loop_
_symmetry_equiv_pos_as_xyz
'x,y,z'
loop_
_atom_site_label
_atom_site_type_symbol
_atom_site_fract_x
_atom_site_fract_y
_atom_site_fract_z
Mg1 Mg 0.300 0.300 0.601
Bi1 Bi 0.932 0.932 0.864
Th1 Th 0.618 0.618 0.236

Of them, <A> has the lowest stability.

<A>
# ThMgTlBi | the Alexandria database | PBE-GGA | relaxed
# V ... 114.3 Å³/f.u.
# M_tot ... 0.0 μB per cell
data_ThMgTlBi
_chemical_formula_sum 'Th1 Mg1 Tl1 Bi1'
_symmetry_space_group_name_H-M 'P 1'
_symmetry_Int_Tables_number 1
_cell_length_a 5.447
_cell_length_b 5.447
_cell_length_c 5.447
_cell_angle_alpha 60.00
_cell_angle_beta 60.00
_cell_angle_gamma 60.00
loop_
_symmetry_equiv_pos_as_xyz
'x,y,z'
loop_
_atom_site_label
_atom_site_type_symbol
_atom_site_fract_x
_atom_site_fract_y
_atom_site_fract_z
Mg1 Mg 0.750 0.750 0.750
Tl1 Tl 0.000 0.000 0.000
Bi1 Bi 0.500 0.500 0.500
Th1 Th 0.250 0.250 0.250

<B>
# ThMgTlBi | the Alexandria database | PBE-GGA | relaxed
# V ... 112.5 Å³/f.u.
# M_tot ... 0.0 μB per cell
data_ThMgTlBi
_chemical_formula_sum 'Th1 Mg1 Tl1 Bi1'
_symmetry_space_group_name_H-M 'P 1'
_symmetry_Int_Tables_number 1
_cell_length_a 4.460
_cell_length_b 4.945
_cell_length_c 5.100
_cell_angle_alpha 90.00
_cell_angle_beta 90.00
_cell_angle_gamma 90.00
loop_
_symmetry_equiv_pos_as_xyz
'x,y,z'
loop_
_atom_site_label
_atom_site_type_symbol
_atom_site_fract_x
_atom_site_fract_y
_atom_site_fract_z
Th1 Th 0.500 0.000 0.500
Mg1 Mg 0.500 0.500 0.000
Tl1 Tl 0.000 0.000 0.000
Bi1 Bi 0.000 0.500 0.500

Of them, <A> has the lowest stability.

<A>
# MgTiBi | the Alexandria database | PBE-GGA | relaxed
# V ... 69.3 Å³/f.u.
# M_tot ... 1.5 μB per cell
data_MgTiBi
_chemical_formula_sum 'Mg1 Ti1 Bi1'
_symmetry_space_group_name_H-M 'P 1'
_symmetry_Int_Tables_number 1
_cell_length_a 3.194
_cell_length_b 5.004
_cell_length_c 5.004
_cell_angle_alpha 120.00
_cell_angle_beta 90.00
_cell_angle_gamma 90.00
loop_
_symmetry_equiv_pos_as_xyz
'x,y,z'
loop_
_atom_site_label
_atom_site_type_symbol
_atom_site_fract_x
_atom_site_fract_y
_atom_site_fract_z
Mg1 Mg 0.386 0.333 0.667
Bi1 Bi 0.658 0.667 0.333
Ti1 Ti 0.956 0.000 0.000

<B>
# MgTiBi | the Alexandria database | PBE-GGA | relaxed
# V ... 67.7 Å³/f.u.
# M_tot ... 0.0 μB per cell
data_MgTiBi
_chemical_formula_sum 'Mg2 Ti2 Bi2'
_symmetry_space_group_name_H-M 'P 1'
_symmetry_Int_Tables_number 1
_cell_length_a 4.304
_cell_length_b 4.304
_cell_length_c 7.306
_cell_angle_alpha 90.00
_cell_angle_beta 90.00
_cell_angle_gamma 90.00
loop_
_symmetry_equiv_pos_as_xyz
'x,y,z'
loop_
_atom_site_label
_atom_site_type_symbol
_atom_site_fract_x
_atom_site_fract_y
_atom_site_fract_z
Mg1 Mg 0.000 0.500 0.800
Mg2 Mg 0.500 0.000 0.200
Bi1 Bi 0.000 0.500 0.214
Bi2 Bi 0.500 0.000 0.786
Ti1 Ti 0.500 0.500 0.500
Ti2 Ti 0.000 0.000 0.500

Of them, <A> has the lowest stability.

<A>
# Mg3TlBi | the Alexandria database | PBE-GGA | relaxed
# V ... 176.8 Å³/f.u.
# M_tot ... 0.0 μB per cell
data_Mg3TlBi
_chemical_formula_sum 'Mg3 Tl1 Bi1'
_symmetry_space_group_name_H-M 'P 1'
_symmetry_Int_Tables_number 1
_cell_length_a 5.613
_cell_length_b 5.613
_cell_length_c 5.613
_cell_angle_alpha 90.00
_cell_angle_beta 90.00
_cell_angle_gamma 90.00
loop_
_symmetry_equiv_pos_as_xyz
'x,y,z'
loop_
_atom_site_label
_atom_site_type_symbol
_atom_site_fract_x
_atom_site_fract_y
_atom_site_fract_z
Mg1 Mg 0.000 0.500 0.000
Mg2 Mg 0.000 0.000 0.500
Mg3 Mg 0.500 0.000 0.000
Tl1 Tl 0.500 0.500 0.500
Bi1 Bi 0.000 0.000 0.000

<B>
# Mg3TlBi | the Alexandria database | PBE-GGA | relaxed
# V ... 131.5 Å³/f.u.
# M_tot ... 0.0 μB per cell
data_Mg3TlBi
_chemical_formula_sum 'Mg12 Tl4 Bi4'
_symmetry_space_group_name_H-M 'P 1'
_symmetry_Int_Tables_number 1
_cell_length_a 7.274
_cell_length_b 8.091
_cell_length_c 9.714
_cell_angle_alpha 90.00
_cell_angle_beta 66.90
_cell_angle_gamma 90.00
loop_
_symmetry_equiv_pos_as_xyz
'x,y,z'
loop_
_atom_site_label
_atom_site_type_symbol
_atom_site_fract_x
_atom_site_fract_y
_atom_site_fract_z
Mg1 Mg 0.278 0.091 0.782
Mg2 Mg 0.722 0.909 0.218
Mg3 Mg 0.222 0.591 0.218
Mg4 Mg 0.778 0.409 0.782
Mg5 Mg 0.552 0.776 0.878
Mg6 Mg 0.448 0.224 0.122
Mg7 Mg 0.948 0.276 0.122
Mg8 Mg 0.052 0.724 0.878
Mg9 Mg 0.767 0.042 0.599
Mg10 Mg 0.233 0.958 0.401
Mg11 Mg 0.733 0.542 0.401
Mg12 Mg 0.267 0.458 0.599
Tl1 Tl 0.455 0.800 0.581
Tl2 Tl 0.545 0.200 0.419
Tl3 Tl 0.045 0.300 0.419
Tl4 Tl 0.955 0.700 0.581
Bi1 Bi 0.826 0.069 0.889
Bi2 Bi 0.174 0.931 0.111
Bi3 Bi 0.674 0.569 0.111
Bi4 Bi 0.326 0.431 0.889

Of them, <A> has the lowest stability.